Record 1
VASP calculation (PBE) on crystalline Nd2TaGe4Pt3 at its relaxed geometry.

Values from the calculation:
Symmetry ... P-4m2 (115)
DFT total energy ... -66.07 eV for the cell shown
Calculated formation energy ... -78 kJ per mole of atoms

Cell lengths 4.284, 4.284, 10.762 Å; angles 90.00, 90.00, 90.00 degrees
Positions (direct):
Nd (0.000, 0.500, 0.239)
Nd (0.500, 0.000, 0.761)
Ta (0.000, 0.000, 0.500)
Ge (0.000, 0.000, 0.000)
Ge (0.000, 0.500, 0.642)
Ge (0.500, 0.000, 0.358)
Ge (0.500, 0.500, 0.000)
Pt (0.000, 0.500, 0.874)
Pt (0.500, 0.000, 0.126)
Pt (0.500, 0.500, 0.500)



Record 2
VASP calculation (PBE) on crystalline TbNd2Ge3Pt4 at its relaxed geometry.

Values from the calculation:
Symmetry ... P-4m2 (115)
DFT total energy ... -61.78 eV for the cell shown
Calculated formation energy ... -93 kJ per mole of atoms

Cell lengths 4.330, 4.330, 11.159 Å; angles 90.00, 90.00, 90.00 degrees
Positions (direct):
Tb (0.000, 0.000, 0.000)
Nd (0.000, 0.500, 0.722)
Nd (0.500, 0.000, 0.278)
Ge (0.000, 0.500, 0.378)
Ge (0.500, 0.000, 0.622)
Ge (0.500, 0.500, 0.000)
Pt (0.000, 0.000, 0.500)
Pt (0.000, 0.500, 0.157)
Pt (0.500, 0.000, 0.843)
Pt (0.500, 0.500, 0.500)



Record 3
VASP calculation (PBE) on crystalline Nd2TcGe4Pt3 at its relaxed geometry.

Values from the calculation:
Symmetry ... P-4m2 (115)
DFT total energy ... -64.88 eV for the cell shown
Calculated formation energy ... -81 kJ per mole of atoms

Cell lengths 4.319, 4.319, 10.303 Å; angles 90.00, 90.00, 90.00 degrees
Positions (direct):
Nd (0.000, 0.500, 0.246)
Nd (0.500, 0.000, 0.754)
Tc (0.000, 0.000, 0.500)
Ge (0.000, 0.000, 0.000)
Ge (0.000, 0.500, 0.627)
Ge (0.500, 0.000, 0.373)
Ge (0.500, 0.500, 0.000)
Pt (0.000, 0.500, 0.870)
Pt (0.500, 0.000, 0.130)
Pt (0.500, 0.500, 0.500)



Record 4
VASP calculation (PBE) on crystalline NdTh2Ge3Pt4 at its relaxed geometry.

Values from the calculation:
Symmetry ... P-4m2 (115)
DFT total energy ... -66.59 eV for the cell shown
Calculated formation energy ... -87 kJ per mole of atoms

Cell lengths 4.336, 4.336, 11.352 Å; angles 90.00, 90.00, 90.00 degrees
Positions (direct):
Nd (0.000, 0.000, 0.000)
Th (0.000, 0.500, 0.715)
Th (0.500, 0.000, 0.285)
Ge (0.000, 0.500, 0.380)
Ge (0.500, 0.000, 0.620)
Ge (0.500, 0.500, 0.000)
Pt (0.000, 0.000, 0.500)
Pt (0.000, 0.500, 0.165)
Pt (0.500, 0.000, 0.835)
Pt (0.500, 0.500, 0.500)



Record 5
VASP calculation (PBE) on crystalline Nd2TiGe3Pt4 at its relaxed geometry.

Values from the calculation:
Symmetry ... P-4m2 (115)
DFT total energy ... -64.89 eV for the cell shown
Calculated formation energy ... -91 kJ per mole of atoms

Cell lengths 4.298, 4.298, 10.530 Å; angles 90.00, 90.00, 90.00 degrees
Positions (direct):
Nd (0.000, 0.500, 0.244)
Nd (0.500, 0.000, 0.756)
Ti (0.000, 0.000, 0.500)
Ge (0.000, 0.500, 0.867)
Ge (0.500, 0.000, 0.133)
Ge (0.500, 0.500, 0.500)
Pt (0.000, 0.000, 0.000)
Pt (0.000, 0.500, 0.634)
Pt (0.500, 0.000, 0.366)
Pt (0.500, 0.500, 0.000)



Record 6
VASP calculation (PBE) on crystalline NdTmGe2Pt5 at its relaxed geometry.

Values from the calculation:
Symmetry ... P4/mmm (123)
DFT total energy ... -56.46 eV for the cell shown
Calculated formation energy ... -83 kJ per mole of atoms

Cell lengths 4.315, 4.315, 8.997 Å; angles 90.00, 90.00, 90.00 degrees
Positions (direct):
Nd (0.000, 0.000, 0.000)
Tm (0.000, 0.000, 0.500)
Ge (0.500, 0.500, 0.366)
Ge (0.500, 0.500, 0.634)
Pt (0.000, 0.500, 0.234)
Pt (0.000, 0.500, 0.766)
Pt (0.500, 0.000, 0.234)
Pt (0.500, 0.000, 0.766)
Pt (0.500, 0.500, 0.000)



Record 7
VASP calculation (PBE) on crystalline Nd2TmGe3Pt4 at its relaxed geometry.

Values from the calculation:
Symmetry ... P-4m2 (115)
DFT total energy ... -61.82 eV for the cell shown
Calculated formation energy ... -95 kJ per mole of atoms

Cell lengths 4.321, 4.321, 11.070 Å; angles 90.00, 90.00, 90.00 degrees
Positions (direct):
Nd (0.000, 0.500, 0.224)
Nd (0.500, 0.000, 0.776)
Tm (0.000, 0.000, 0.500)
Ge (0.000, 0.500, 0.877)
Ge (0.500, 0.000, 0.123)
Ge (0.500, 0.500, 0.500)
Pt (0.000, 0.000, 0.000)
Pt (0.000, 0.500, 0.653)
Pt (0.500, 0.000, 0.347)
Pt (0.500, 0.500, 0.000)



Record 8
VASP calculation (PBE) on crystalline Nd2UGe4Pt3 at its relaxed geometry.

Values from the calculation:
Symmetry ... P-4m2 (115)
DFT total energy ... -64.54 eV for the cell shown
Calculated formation energy ... -69 kJ per mole of atoms

Cell lengths 4.307, 4.307, 11.468 Å; angles 90.00, 90.00, 90.00 degrees
Positions (direct):
Nd (0.000, 0.500, 0.228)
Nd (0.500, 0.000, 0.772)
U (0.000, 0.000, 0.500)
Ge (0.000, 0.000, 0.000)
Ge (0.000, 0.500, 0.667)
Ge (0.500, 0.000, 0.333)
Ge (0.500, 0.500, 0.000)
Pt (0.000, 0.500, 0.884)
Pt (0.500, 0.000, 0.116)
Pt (0.500, 0.500, 0.500)



Record 9
VASP calculation (PBE) on crystalline NdYGePt at its relaxed geometry.

Values from the calculation:
Symmetry ... F-43m (216)
DFT total energy ... -25.40 eV for the cell shown
Relative energy among the computed polymorphs ... 150 meV/atom
Calculated formation energy ... -85 kJ per mole of atoms

Cell lengths 5.101, 5.101, 5.101 Å; angles 60.00, 60.00, 60.00 degrees
Positions (direct):
Nd (0.000, 0.000, 0.000)
Y (0.500, 0.500, 0.500)
Ge (0.750, 0.750, 0.750)
Pt (0.250, 0.250, 0.250)



Record 10
VASP calculation (PBE) on crystalline NdYGePt at its relaxed geometry.

Values from the calculation:
Symmetry ... Amm2 (38)
DFT total energy ... -26.00 eV for the cell shown
Relative energy among the computed polymorphs ... 0 meV/atom
Calculated formation energy ... -99 kJ per mole of atoms

Cell lengths 4.304, 5.898, 5.898 Å; angles 39.99, 90.00, 90.00 degrees
Positions (direct):
Nd (0.000, 0.000, 0.000)
Y (0.500, 0.277, 0.277)
Ge (0.500, 0.565, 0.565)
Pt (0.000, 0.726, 0.726)



What is the formula in the third record?
Nd2TcGe4Pt3